[1]
19
Lattice="7.710 4.451 3.467 -7.710 4.451 3.467 0.000 -8.902 3.467" Properties=species:S:1:pos:R:3 comment="PBE-GGA CaLa12Dy6, relaxed" dos_at_fermi_per_ev_cell=30.890 energy_ev_per_atom=-4.309 delta_e_f_kj_per_mol_atoms=34.9 pbc="T T T"
Ca 0.000 0.000 0.000
La -2.978 -5.158 5.201
La -5.956 0.000 5.201
La -1.642 -0.948 3.217
La 1.642 -0.948 3.217
La 0.000 1.896 3.217
La 2.978 -5.158 5.201
La -2.978 5.158 5.201
La 0.000 -1.896 7.184
La -1.642 0.948 7.184
La 1.642 0.948 7.184
La 5.956 0.000 5.201
La 2.978 5.158 5.201
Dy -3.306 -1.908 5.623
Dy 0.000 -3.817 4.778
Dy -3.306 1.908 4.778
Dy 3.306 -1.908 5.623
Dy 0.000 3.817 5.623
Dy 3.306 1.908 4.778

=====

[2]
6
Lattice="3.758 0.000 0.000 0.000 3.758 0.000 0.000 0.000 15.678" Properties=species:S:1:pos:R:3 comment="PBE-GGA CaLa4Dy, relaxed" dos_at_fermi_per_ev_cell=9.696 energy_ev_per_atom=-4.356 delta_e_f_kj_per_mol_atoms=2.9 pbc="T T T"
Ca 0.000 0.000 0.000
La 0.000 0.000 5.356
La 0.000 0.000 10.322
La 1.879 1.879 2.873
La 1.879 1.879 12.806
Dy 1.879 1.879 7.839

=====

[3]
10
Lattice="2.831 -5.733 0.000 2.831 5.733 0.000 -0.008 0.000 11.564" Properties=species:S:1:pos:R:3 comment="PBE-GGA CaLa3Dy, relaxed" dos_at_fermi_per_ev_cell=15.267 energy_ev_per_atom=-4.138 delta_e_f_kj_per_mol_atoms=13.4 pbc="T T T"
Ca 2.831 3.932 0.000
Ca 2.831 -3.932 0.000
La 2.826 3.999 3.580
La 2.828 3.999 7.985
La 2.827 0.000 2.218
La 2.827 0.000 9.347
La 2.826 -3.999 3.580
La 2.828 -3.999 7.985
Dy 2.827 1.601 5.782
Dy 2.827 -1.601 5.782

=====

[4]
16
Lattice="7.460 0.000 0.000 0.000 7.460 0.000 0.000 0.000 10.531" Properties=species:S:1:pos:R:3 comment="PBE-GGA CaLa14Dy, relaxed" dos_at_fermi_per_ev_cell=25.374 energy_ev_per_atom=-4.707 delta_e_f_kj_per_mol_atoms=1.6 pbc="T T T"
Ca 0.000 0.000 0.000
La 0.000 0.000 5.265
La 0.000 3.730 0.000
La 0.000 3.730 5.265
La 1.908 1.908 2.661
La 1.908 1.908 7.869
La 1.908 5.551 2.661
La 1.908 5.551 7.869
La 3.730 0.000 0.000
La 3.730 0.000 5.265
La 3.730 3.730 5.265
La 5.551 1.908 2.661
La 5.551 1.908 7.869
La 5.551 5.551 2.661
La 5.551 5.551 7.869
Dy 3.730 3.730 0.000

=====

[5]
4
Lattice="3.695 0.000 0.000 0.000 3.695 0.000 0.000 0.000 10.314" Properties=species:S:1:pos:R:3 comment="PBE-GGA CaLaDy2, relaxed" dos_at_fermi_per_ev_cell=7.525 energy_ev_per_atom=-3.949 relative_energy_ev_per_atom=0.020 delta_e_f_kj_per_mol_atoms=8.2 pbc="T T T"
Ca 0.000 0.000 0.000
La 0.000 0.000 5.157
Dy 1.847 1.847 2.717
Dy 1.847 1.847 7.598

=====

[6]
12
Lattice="-4.386 4.386 6.299 4.386 -4.386 6.299 4.386 4.386 -6.299" Properties=species:S:1:pos:R:3 comment="PBE-GGA CaLa8Dy3, relaxed" dos_at_fermi_per_ev_cell=21.085 energy_ev_per_atom=-4.070 delta_e_f_kj_per_mol_atoms=51.4 pbc="T T T"
Ca 0.000 0.000 0.000
La 1.324 -1.324 3.522
La 2.347 2.347 -0.678
La 2.039 -2.039 6.977
La -1.324 1.324 3.522
La 3.061 3.061 2.776
La 2.039 2.039 5.621
La -2.039 2.039 6.977
La 1.324 1.324 9.075
Dy 4.386 0.000 3.149
Dy 0.000 0.000 6.299
Dy 0.000 4.386 3.149

=====

- Number 3 is which compound?
  CaLa3Dy

=====

Repeat the second record exactly.
6
Lattice="3.758 0.000 0.000 0.000 3.758 0.000 0.000 0.000 15.678" Properties=species:S:1:pos:R:3 comment="PBE-GGA CaLa4Dy, relaxed" dos_at_fermi_per_ev_cell=9.696 energy_ev_per_atom=-4.356 delta_e_f_kj_per_mol_atoms=2.9 pbc="T T T"
Ca 0.000 0.000 0.000
La 0.000 0.000 5.356
La 0.000 0.000 10.322
La 1.879 1.879 2.873
La 1.879 1.879 12.806
Dy 1.879 1.879 7.839